Entry 1:
This record from Alexandria via LeMat-Bulk describes a relaxed AcAl9Cu2 crystal. The functional is PBE.

```
AcAl9Cu2
1.0
-3.463 5.903 -2.235
-7.427 -1.415 -3.827
-5.309 3.417 5.653
Al Cu Ac
18 4 2
direct
0.140 0.174 0.423 Al
0.610 0.077 0.326 Al
0.000 0.000 0.000 Al
0.750 0.500 0.500 Al
0.064 0.326 0.923 Al
0.064 0.923 0.326 Al
0.312 0.674 0.077 Al
0.013 0.923 0.674 Al
0.686 0.174 0.577 Al
0.438 0.423 0.826 Al
0.438 0.826 0.423 Al
0.686 0.577 0.174 Al
0.610 0.326 0.077 Al
0.737 0.826 0.577 Al
0.140 0.423 0.174 Al
0.013 0.674 0.923 Al
0.312 0.077 0.674 Al
0.737 0.577 0.826 Al
0.875 0.750 0.250 Cu
0.875 0.250 0.750 Cu
0.375 0.750 0.750 Cu
0.875 0.250 0.250 Cu
0.500 0.000 0.000 Ac
0.250 0.500 0.500 Ac
```

## Properties
For the formation energy from the elements, the calculation gives -197 meV/atom. Its space group is I4_1/amd, No. 141. The calculation puts the density of states at the Fermi level at 0.4065 states/eV per atom. The calculated total energy comes out at -4.029 eV per atom. As for the volume: 211.9 Å³/f.u. The calculation puts the energy above the lowest structure with this stoichiometry at 0.0000 eV per atom. The total magnetization is 0.00 μB per atom.

---

Entry 2:
This record from Alexandria via LeMat-Bulk describes a relaxed Ac2AlCu crystal. The functional is PBE.

```
Ac2AlCu
1.0
-0.716 3.318 1.819
-3.538 -1.244 0.877
2.748 -3.086 6.711
Al Ac Cu
1 2 1
direct
0.500 0.500 0.500 Al
0.000 0.000 0.244 Ac
0.000 0.000 0.756 Ac
0.500 0.500 0.000 Cu
```

## Properties
For the formation energy from the elements, the calculation gives -150 meV/atom. Its space group is P4/mmm, No. 123. The calculation puts the density of states at the Fermi level at 0.9228 states/eV per atom. The calculated total energy comes out at -4.164 eV per atom. As for the volume: 116.9 Å³/f.u. The total magnetization is 0.00 μB per atom.

---

Entry 3:
This record from Alexandria via LeMat-Bulk describes a relaxed Ac3Al3Cu2 crystal. The functional is PBE.

```
Ac3Al3Cu2
1.0
5.914 0.000 0.000
0.000 8.698 0.000
0.000 0.000 15.916
Cu Al Ac
8 12 12
direct
0.121 0.897 0.901 Cu
0.379 0.397 0.901 Cu
0.621 0.603 0.401 Cu
0.879 0.103 0.099 Cu
0.121 0.897 0.599 Cu
0.379 0.397 0.599 Cu
0.621 0.603 0.099 Cu
0.879 0.103 0.401 Cu
0.930 0.843 0.750 Al
0.887 0.818 0.034 Al
0.113 0.182 0.534 Al
0.113 0.182 0.966 Al
0.070 0.157 0.250 Al
0.887 0.818 0.466 Al
0.570 0.343 0.750 Al
0.613 0.318 0.034 Al
0.387 0.682 0.534 Al
0.430 0.657 0.250 Al
0.387 0.682 0.966 Al
0.613 0.318 0.466 Al
0.114 0.455 0.110 Ac
0.386 0.955 0.110 Ac
0.886 0.545 0.890 Ac
0.386 0.955 0.390 Ac
0.886 0.545 0.610 Ac
0.614 0.045 0.890 Ac
0.086 0.195 0.750 Ac
0.914 0.805 0.250 Ac
0.114 0.455 0.390 Ac
0.586 0.305 0.250 Ac
0.414 0.695 0.750 Ac
0.614 0.045 0.610 Ac
```

## Properties
For the formation energy from the elements, the calculation gives -245 meV/atom. Its space group is Pnma, No. 62. The calculation puts the density of states at the Fermi level at 0.7801 states/eV per atom. The calculated total energy comes out at -4.213 eV per atom. As for the volume: 204.7 Å³/f.u. The calculation puts the energy above the lowest structure with this stoichiometry at 0.0275 eV per atom. The total magnetization is 0.00 μB per atom.

---

Entry 4:
This record from Alexandria via LeMat-Bulk describes a relaxed AcAl5Cu2 crystal. The functional is PBE.

```
AcAl5Cu2
1.0
-2.243 -1.890 -2.872
-5.360 -2.338 2.790
-5.194 3.655 -1.282
Ac Al Cu
1 5 2
direct
0.000 0.000 0.000 Ac
0.000 0.500 0.500 Al
0.346 0.840 0.467 Al
0.654 0.160 0.533 Al
0.654 0.533 0.160 Al
0.346 0.467 0.840 Al
0.242 0.258 0.258 Cu
0.758 0.742 0.742 Cu
```

## Properties
For the formation energy from the elements, the calculation gives -353 meV/atom. Its space group is Immm, No. 71. The calculation puts the density of states at the Fermi level at 0.2546 states/eV per atom. The calculated total energy comes out at -4.230 eV per atom. As for the volume: 147.6 Å³/f.u. The total magnetization is 0.00 μB per atom.

---

Question: Which of these has the lowest formation energy from the elements?
Answer: AcAl5Cu2

---

Question: Which of these has the lowest formation energy from the elements?
Answer: AcAl5Cu2